# TbCeEr2Ru4

A relaxed TbCeEr2Ru4 crystal (PBE, Alexandria via LeMat-Bulk).

Cell: 4.837 4.837 8.249 Å, 72.95 72.95 60.00°
Atoms (fractional coordinates):
Tb: 0.000 0.000 0.000
Ce: 0.500 0.500 0.500
Er: 0.748 0.748 0.757
Er: 0.252 0.252 0.243
Ru: 0.379 0.379 0.862
Ru: 0.872 0.872 0.383
Ru: 0.128 0.128 0.617
Ru: 0.621 0.621 0.138

DFT formation energy, eV/f.u.: -3.216
Fermi-level density of states, states/eV/f.u.: 5.16
Spin magnetization, μB per formula unit: 0.0

---

# CeErTcRu

A relaxed CeErTcRu crystal (PBE, Alexandria via LeMat-Bulk).

Cell: 4.828 4.828 4.828 Å, 60.00 60.00 60.00°
Atoms (fractional coordinates):
Ru: 0.000 0.000 0.000
Tc: 0.500 0.500 0.500
Ce: 0.750 0.750 0.750
Er: 0.250 0.250 0.250

DFT formation energy, eV/f.u.: -0.804
Fermi-level density of states, states/eV/f.u.: 2.78
Spin magnetization, μB per formula unit: 0.0

---

# CeErTlRu

A relaxed CeErTlRu crystal (PBE, Alexandria via LeMat-Bulk).

Cell: 3.378 3.378 8.370 Å, 90.00 90.00 90.00°
Atoms (fractional coordinates):
Ce: 0.500 0.500 0.774
Er: 0.500 0.500 0.366
Tl: 0.000 0.000 0.078
Ru: 0.000 0.000 0.567

DFT formation energy, eV/f.u.: -1.565
ΔE to the lowest computed polymorph, meV/atom: 0.0
Fermi-level density of states, states/eV/f.u.: 3.56
Spin magnetization, μB per formula unit: 0.5

---

# CeErTlRu

A relaxed CeErTlRu crystal (PBE, Alexandria via LeMat-Bulk).

Cell: 5.126 5.126 5.126 Å, 60.00 60.00 60.00°
Atoms (fractional coordinates):
Ru: 0.750 0.750 0.750
Tl: 0.250 0.250 0.250
Ce: 0.000 0.000 0.000
Er: 0.500 0.500 0.500

DFT formation energy, eV/f.u.: -0.673
ΔE to the lowest computed polymorph, meV/atom: 223.0
Fermi-level density of states, states/eV/f.u.: 5.87
Spin magnetization, μB per formula unit: 0.5